(1)
# YHoPd

A geometry-optimized YHoPd structure (PBE, the Alexandria database).

Values from the calculation:
relative energy among the computed polymorphs: 0.07 kJ/mol of atoms
volume: 160.53 Å³ per cell
DFT formation energy: -0.56 eV per atom

Lattice parameters (Å, degrees): 4.156 5.765 8.349 122.85 104.41 90.00
Positions (direct):
Y1 0.148 0.481 0.295
Y2 0.852 0.519 0.705
Ho1 0.419 0.122 0.838
Ho2 0.581 0.878 0.162
Pd1 0.772 0.877 0.544
Pd2 0.228 0.123 0.456


(2)
# Y3Ho3Pd4

A geometry-optimized Y3Ho3Pd4 structure (PBE, the Alexandria database).

Values from the calculation:
volume: 240.69 Å³ per cell
DFT formation energy: -0.73 eV per atom

Lattice parameters (Å, degrees): 4.006 7.751 7.751 89.72 90.00 90.00
Positions (direct):
Y1 0.500 0.835 0.165
Y2 0.500 0.335 0.336
Y3 0.500 0.664 0.665
Ho1 0.000 0.500 0.000
Ho2 0.000 0.000 0.500
Ho3 0.500 0.165 0.835
Pd1 0.000 0.633 0.367
Pd2 0.000 0.364 0.636
Pd3 0.000 0.869 0.865
Pd4 0.000 0.135 0.131


Q: What is the DFT formation energy in the first record?
A: -0.56 eV per atom